First-principles (PBE) data for a relaxed Mn2VPd6 crystal, as listed in Alexandria via LeMat-Bulk.

Lattice parameters (Å, degrees): 8.0905 7.0448 5.0750 82.02 59.58 38.40
With the nearest neighbours (Å) after each atom.
Sites, in units of the cell vectors:
Mn1 0.1686 0.1686 0.8314  8 Pd 2.64-2.66
Mn2 0.8314 0.8314 0.1686  8 Pd 2.64-2.66
V1 0.5000 0.5000 0.5000  8 Pd 2.61-2.64
Pd1 0.1549 0.8451 0.1549  2 V 2.64, 2 Mn 2.66, 5 Pd 2.79-2.83
Pd2 0.1800 0.4916 0.5084  1 V 2.61, 3 Mn 2.64-2.65, 5 Pd 2.79-2.87
Pd3 0.4916 0.1800 0.8200  1 V 2.61, 3 Mn 2.64-2.65, 5 Pd 2.79-2.87
Pd4 0.5084 0.8200 0.1800  1 V 2.61, 3 Mn 2.64-2.65, 5 Pd 2.79-2.87
Pd5 0.8200 0.5084 0.4916  1 V 2.61, 3 Mn 2.64-2.65, 5 Pd 2.79-2.87
Pd6 0.8451 0.1549 0.8451  2 V 2.64, 2 Mn 2.66, 5 Pd 2.79-2.83

## Properties
Density of states at the Fermi level in states/eV per atom: 0.629
Crystal system: orthorhombic
Magnetization in μB/f.u.: 6.91
Calculated total energy in eV per formula unit: -60.366